[1]
A plane-wave DFT calculation with GGA-PBE was carried out for a geometry-optimized Ir structure.

Summary:
N(E_F) (states/eV per cell): 5.6
VASP energy (eV/f.u.): -8.7

Cell: 4.658 4.658 2.724 Å, 90.00 90.00 90.00°
Space group P4_2/mnm (No. 136)
One atom of each set of equivalent atoms:
Ir: 0.203 0.203 0.000 [4 per cell]

=====

[2]
A plane-wave DFT calculation with GGA-PBE was carried out for a geometry-optimized Ir structure.

Summary:
N(E_F) (states/eV per cell): 22.8
VASP energy (eV/f.u.): -7.7

Cell: 6.841 6.841 6.841 Å, 90.00 90.00 90.00°
Space group Im-3m (No. 229)
One atom of each set of equivalent atoms:
Ir: 0.000 0.250 0.500 [12 per cell]

=====

[3]
A plane-wave DFT calculation with GGA-PBE was carried out for a geometry-optimized Ir structure.

Summary:
N(E_F) (states/eV per cell): 5.1
VASP energy (eV/f.u.): -8.5

Cell: 2.743 2.743 8.569 Å, 90.00 90.00 90.00°
Space group I4/mmm (No. 139)
One atom of each set of equivalent atoms:
Ir: 0.000 0.000 0.144 [4 per cell]

=====

[4]
A plane-wave DFT calculation with GGA-PBE was carried out for a geometry-optimized Ir structure.

Summary:
N(E_F) (states/eV per cell): 2.7
VASP energy (eV/f.u.): -7.9

Cell: 6.816 6.816 3.925 Å, 90.00 90.00 90.00°
Space group I4/mmm (No. 139)
One atom of each set of equivalent atoms:
Ir: 0.176 0.176 0.000 [8 per cell]

=====

[5]
A plane-wave DFT calculation with GGA-PBE was carried out for a geometry-optimized Ir structure.

Summary:
N(E_F) (states/eV per cell): 11.5
VASP energy (eV/f.u.): -7.7

Cell: 7.579 7.579 8.000 Å, 90.00 90.00 90.00°
Space group I4_1/amd (No. 141, origin choice 2)
One atom of each set of equivalent atoms:
Ir: 0.159 0.091 0.375 [16 per cell]

=====

[6]
A plane-wave DFT calculation with GGA-PBE was carried out for a geometry-optimized Ir structure.

Summary:
N(E_F) (states/eV per cell): 3.1
VASP energy (eV/f.u.): -8.3

Cell: 3.117 3.117 3.117 Å, 90.00 90.00 90.00°
Space group Im-3m (No. 229)
One atom of each set of equivalent atoms:
Ir: 0.000 0.000 0.000 [2 per cell]

=====

[7]
A plane-wave DFT calculation with GGA-PBE was carried out for a geometry-optimized Ir structure.

Summary:
N(E_F) (states/eV per cell): 10.4
VASP energy (eV/f.u.): -7.4

Cell: 4.2711 4.2711 4.9022 Å, 90.00 90.00 120.00°
Space group P6_3/mmc (No. 194)
One atom of each set of equivalent atoms:
Ir: 0.0000 0.0000 0.2500 [2 per cell]
Ir: 0.3333 0.6667 0.2500 [2 per cell]

=====

[8]
A plane-wave DFT calculation with GGA-PBE was carried out for a geometry-optimized Ir structure.

Summary:
N(E_F) (states/eV per cell): 7.2
VASP energy (eV/f.u.): -8.7

Cell: 2.7079 2.7079 14.3246 Å, 90.00 90.00 120.00°
Space group R-3m (No. 166, hexagonal axes)
One atom of each set of equivalent atoms:
Ir: 0.0000 0.0000 0.0881 [6 per cell]

=====

What did the first record say?
A plane-wave DFT calculation with GGA-PBE was carried out for a geometry-optimized Ir structure.

Summary:
N(E_F) (states/eV per cell): 5.6
VASP energy (eV/f.u.): -8.7

Cell: 4.658 4.658 2.724 Å, 90.00 90.00 90.00°
Space group P4_2/mnm (No. 136)
One atom of each set of equivalent atoms:
Ir: 0.203 0.203 0.000 [4 per cell]

=====

What is the VASP energy in the eighth record? -8.7 eV/f.u.

=====

Which of these has the lowest N(E_F)? number 4

=====

N(E_F) of number 8 (Ir)? 7.2 states/eV per cell